1.
This record from Alexandria via LeMat-Bulk describes Tl2CuO4 after structural relaxation. The functional is PBE.

Geometry as CIF:
```
data_Tl2CuO4
_cell_length_a 5.577
_cell_length_b 11.031
_cell_length_c 3.123
_cell_angle_alpha 90.00
_cell_angle_beta 90.00
_cell_angle_gamma 90.00
_space_group_name_H-M_alt 'C m m m'
_space_group_IT_number 65
_space_group_name_Hall '-C 2 2'
loop_
_atom_site_label
_atom_site_type_symbol
_atom_site_fract_x
_atom_site_fract_y
_atom_site_fract_z
Tl1 Tl 0.000 0.162 0.000
Cu1 Cu 0.000 0.500 0.500
O1 O 0.224 0.500 0.000
O2 O 0.250 0.250 0.500
```

Properties
Raw formation energy (kJ/mol of formula units): -309
ΔE to the lowest computed polymorph (kcal/mol of atoms): 0.14
Magnetic moment (μB/atom): 0.0000

2.
This record from Alexandria via LeMat-Bulk describes TlCu2O2 after structural relaxation. The functional is PBE.

Geometry as CIF:
```
data_TlCu2O2
_cell_length_a 5.600
_cell_length_b 5.750
_cell_length_c 5.299
_cell_angle_alpha 90.00
_cell_angle_beta 95.00
_cell_angle_gamma 90.00
_space_group_name_H-M_alt 'C 1 2/m 1'
_space_group_IT_number 12
_space_group_name_Hall '-C 2y'
loop_
_atom_site_label
_atom_site_type_symbol
_atom_site_fract_x
_atom_site_fract_y
_atom_site_fract_z
Tl1 Tl 0.000 0.000 0.000
Cu1 Cu 0.000 0.255 0.500
O1 O 0.250 0.000 0.504
```

Properties
Raw formation energy (kJ/mol of formula units): -191
ΔE to the lowest computed polymorph (kcal/mol of atoms): 3.48
Magnetic moment (μB/atom): 0.0000

3.
This record from Alexandria via LeMat-Bulk describes TlCu2O4 after structural relaxation. The functional is PBE.

Geometry as CIF:
```
data_TlCu2O4
_cell_length_a 6.245
_cell_length_b 6.245
_cell_length_c 8.786
_cell_angle_alpha 90.00
_cell_angle_beta 90.00
_cell_angle_gamma 90.00
_space_group_name_H-M_alt 'I 41/a m d'
_space_group_IT_number 141
loop_
_space_group_symop_operation_xyz
'x,y,z'
'-x,-y,-z'
'-y+1/4,x+3/4,z+1/4'
'y+1/4,-x+3/4,-z+1/4'
'-x+1/2,-y,z+1/2'
'x+1/2,y,-z+1/2'
'y+1/4,-x+1/4,z+3/4'
'-y+1/4,x+1/4,-z+3/4'
'x,-y,-z'
'-x,y,z'
'-y+1/4,-x+1/4,-z+3/4'
'y+1/4,x+1/4,z+3/4'
'-x+1/2,y,-z+1/2'
'x+1/2,-y,z+1/2'
'y+1/4,x+3/4,-z+1/4'
'-y+1/4,-x+3/4,z+1/4'
'x+1/2,y+1/2,z+1/2'
'-x+1/2,-y+1/2,-z+1/2'
'-y+3/4,x+1/4,z+3/4'
'y+3/4,-x+1/4,-z+3/4'
'-x,-y+1/2,z'
'x,y+1/2,-z'
'y+3/4,-x+3/4,z+1/4'
'-y+3/4,x+3/4,-z+1/4'
'x+1/2,-y+1/2,-z+1/2'
'-x+1/2,y+1/2,z+1/2'
'-y+3/4,-x+3/4,-z+1/4'
'y+3/4,x+3/4,z+1/4'
'-x,y+1/2,-z'
'x,-y+1/2,z'
'y+3/4,x+1/4,-z+3/4'
'-y+3/4,-x+1/4,z+3/4'
loop_
_atom_site_label
_atom_site_type_symbol
_atom_site_fract_x
_atom_site_fract_y
_atom_site_fract_z
Tl1 Tl 0.000 0.250 0.375
Cu1 Cu 0.000 0.000 0.000
O1 O 0.000 0.037 0.768
```

Properties
Raw formation energy (kJ/mol of formula units): -329
Magnetic moment (μB/atom): 0.4368

4.
This record from Alexandria via LeMat-Bulk describes Tl3CuO after structural relaxation. The functional is PBE.

Geometry as CIF:
```
data_Tl3CuO
_cell_length_a 5.033
_cell_length_b 5.033
_cell_length_c 5.033
_cell_angle_alpha 90.00
_cell_angle_beta 90.00
_cell_angle_gamma 90.00
_space_group_name_H-M_alt 'P m -3 m'
_space_group_IT_number 221
_space_group_name_Hall '-P 4 2 3'
loop_
_atom_site_label
_atom_site_type_symbol
_atom_site_fract_x
_atom_site_fract_y
_atom_site_fract_z
Tl1 Tl 0.000 0.000 0.500
Cu1 Cu 0.500 0.500 0.500
O1 O 0.000 0.000 0.000
```

Properties
Raw formation energy (kJ/mol of formula units): 76
ΔE to the lowest computed polymorph (kcal/mol of atoms): 0.00
Magnetic moment (μB/atom): 0.0000

5.
This record from Alexandria via LeMat-Bulk describes TlCu6O12 after structural relaxation. The functional is PBE.

Geometry as CIF:
```
data_TlCu6O12
_cell_length_a 7.971
_cell_length_b 7.971
_cell_length_c 7.971
_cell_angle_alpha 90.00
_cell_angle_beta 90.00
_cell_angle_gamma 90.00
_space_group_name_H-M_alt 'I m -3'
_space_group_IT_number 204
_space_group_name_Hall '-I 2 2 3'
loop_
_atom_site_label
_atom_site_type_symbol
_atom_site_fract_x
_atom_site_fract_y
_atom_site_fract_z
Tl1 Tl 0.000 0.000 0.000
Cu1 Cu 0.000 0.340 0.500
O1 O 0.000 0.152 0.359
```

Properties
Raw formation energy (kJ/mol of formula units): 184
Magnetic moment (μB/atom): 0.5649

6.
This record from Alexandria via LeMat-Bulk describes TlCu3O6 after structural relaxation. The functional is PBE.

Geometry as CIF:
```
data_TlCu3O6
_cell_length_a 6.976
_cell_length_b 9.856
_cell_length_c 3.236
_cell_angle_alpha 90.00
_cell_angle_beta 90.00
_cell_angle_gamma 90.00
_space_group_name_H-M_alt 'C m m m'
_space_group_IT_number 65
_space_group_name_Hall '-C 2 2'
loop_
_atom_site_label
_atom_site_type_symbol
_atom_site_fract_x
_atom_site_fract_y
_atom_site_fract_z
Tl1 Tl 0.000 0.000 0.000
Cu1 Cu 0.000 0.500 0.000
Cu2 Cu 0.250 0.250 0.500
O1 O 0.000 0.165 0.500
O2 O 0.192 0.371 0.000
```

Properties
Raw formation energy (kJ/mol of formula units): -437
Magnetic moment (μB/atom): 0.0076

7.
This record from Alexandria via LeMat-Bulk describes Tl2CuO4 after structural relaxation. The functional is PBE.

Geometry as CIF:
```
data_Tl2CuO4
_cell_length_a 3.925
_cell_length_b 3.925
_cell_length_c 11.908
_cell_angle_alpha 90.00
_cell_angle_beta 90.00
_cell_angle_gamma 90.00
_space_group_name_H-M_alt 'I 4/m m m'
_space_group_IT_number 139
_space_group_name_Hall '-I 4 2'
loop_
_atom_site_label
_atom_site_type_symbol
_atom_site_fract_x
_atom_site_fract_y
_atom_site_fract_z
Tl1 Tl 0.000 0.000 0.151
Cu1 Cu 0.000 0.000 0.500
O1 O 0.000 0.500 0.000
O2 O 0.000 0.500 0.250
```

Properties
Raw formation energy (kJ/mol of formula units): -314
ΔE to the lowest computed polymorph (kcal/mol of atoms): 0.00
Magnetic moment (μB/atom): 0.0000

8.
This record from Alexandria via LeMat-Bulk describes TlCu2O after structural relaxation. The functional is PBE.

Geometry as CIF:
```
data_TlCu2O
_cell_length_a 5.164
_cell_length_b 5.164
_cell_length_c 10.951
_cell_angle_alpha 90.00
_cell_angle_beta 90.00
_cell_angle_gamma 90.00
_space_group_name_H-M_alt 'I 41/a m d'
_space_group_IT_number 141
loop_
_space_group_symop_operation_xyz
'x,y,z'
'-x,-y,-z'
'-y+1/4,x+3/4,z+1/4'
'y+1/4,-x+3/4,-z+1/4'
'-x+1/2,-y,z+1/2'
'x+1/2,y,-z+1/2'
'y+1/4,-x+1/4,z+3/4'
'-y+1/4,x+1/4,-z+3/4'
'x,-y,-z'
'-x,y,z'
'-y+1/4,-x+1/4,-z+3/4'
'y+1/4,x+1/4,z+3/4'
'-x+1/2,y,-z+1/2'
'x+1/2,-y,z+1/2'
'y+1/4,x+3/4,-z+1/4'
'-y+1/4,-x+3/4,z+1/4'
'x+1/2,y+1/2,z+1/2'
'-x+1/2,-y+1/2,-z+1/2'
'-y+3/4,x+1/4,z+3/4'
'y+3/4,-x+1/4,-z+3/4'
'-x,-y+1/2,z'
'x,y+1/2,-z'
'y+3/4,-x+3/4,z+1/4'
'-y+3/4,x+3/4,-z+1/4'
'x+1/2,-y+1/2,-z+1/2'
'-x+1/2,y+1/2,z+1/2'
'-y+3/4,-x+3/4,-z+1/4'
'y+3/4,x+3/4,z+1/4'
'-x,y+1/2,-z'
'x,-y+1/2,z'
'y+3/4,x+1/4,-z+3/4'
'-y+3/4,-x+1/4,z+3/4'
loop_
_atom_site_label
_atom_site_type_symbol
_atom_site_fract_x
_atom_site_fract_y
_atom_site_fract_z
Tl1 Tl 0.000 0.250 0.375
Cu1 Cu 0.000 0.000 0.000
O1 O 0.000 0.250 0.875
```

Properties
Raw formation energy (kJ/mol of formula units): -76
ΔE to the lowest computed polymorph (kcal/mol of atoms): 0.00
Magnetic moment (μB/atom): 0.0000

9.
This record from Alexandria via LeMat-Bulk describes TlCu3O4 after structural relaxation. The functional is PBE.

Geometry as CIF:
```
data_TlCu3O4
_cell_length_a 5.695
_cell_length_b 5.695
_cell_length_c 5.695
_cell_angle_alpha 90.00
_cell_angle_beta 90.00
_cell_angle_gamma 90.00
_space_group_name_H-M_alt 'P m -3 n'
_space_group_IT_number 223
_space_group_name_Hall '-P 4n 2 3'
loop_
_atom_site_label
_atom_site_type_symbol
_atom_site_fract_x
_atom_site_fract_y
_atom_site_fract_z
Tl1 Tl 0.000 0.000 0.000
Cu1 Cu 0.000 0.250 0.500
O1 O 0.250 0.250 0.250
```

Properties
Raw formation energy (kJ/mol of formula units): -385
Magnetic moment (μB/atom): 0.0000

10.
This record from Alexandria via LeMat-Bulk describes TlCu2O after structural relaxation. The functional is PBE.

Geometry as CIF:
```
data_TlCu2O
_cell_length_a 6.143
_cell_length_b 6.143
_cell_length_c 6.143
_cell_angle_alpha 90.00
_cell_angle_beta 90.00
_cell_angle_gamma 90.00
_space_group_name_H-M_alt 'F m -3 m'
_space_group_IT_number 225
_space_group_name_Hall '-F 4 2 3'
loop_
_atom_site_label
_atom_site_type_symbol
_atom_site_fract_x
_atom_site_fract_y
_atom_site_fract_z
Tl1 Tl 0.000 0.000 0.000
Cu1 Cu 0.250 0.250 0.250
O1 O 0.000 0.000 0.500
```

Properties
Raw formation energy (kJ/mol of formula units): 136
ΔE to the lowest computed polymorph (kcal/mol of atoms): 12.70
Magnetic moment (μB/atom): 0.0000

11.
This record from Alexandria via LeMat-Bulk describes Tl5Cu2O5 after structural relaxation. The functional is PBE.

Geometry as CIF:
```
data_Tl5Cu2O5
_cell_length_a 12.415
_cell_length_b 3.614
_cell_length_c 11.279
_cell_angle_alpha 90.00
_cell_angle_beta 116.55
_cell_angle_gamma 90.00
_space_group_name_H-M_alt 'C 1 2/m 1'
_space_group_IT_number 12
_space_group_name_Hall '-C 2y'
loop_
_atom_site_label
_atom_site_type_symbol
_atom_site_fract_x
_atom_site_fract_y
_atom_site_fract_z
Tl1 Tl 0.000 0.000 0.000
Tl2 Tl 0.107 0.500 0.455
Tl3 Tl 0.154 0.500 0.841
Cu1 Cu 0.196 0.500 0.276
O1 O 0.000 0.000 0.500
O2 O 0.199 0.500 0.105
O3 O 0.233 0.000 0.319
```

Properties
Raw formation energy (kJ/mol of formula units): -539
Magnetic moment (μB/atom): 0.0001

12.
This record from Alexandria via LeMat-Bulk describes TlCu2O2 after structural relaxation. The functional is PBE.

Geometry as CIF:
```
data_TlCu2O2
_cell_length_a 5.587
_cell_length_b 6.213
_cell_length_c 9.032
_cell_angle_alpha 90.00
_cell_angle_beta 90.00
_cell_angle_gamma 90.00
_space_group_name_H-M_alt 'I m m a'
_space_group_IT_number 74
_space_group_name_Hall '-I 2b 2'
loop_
_atom_site_label
_atom_site_type_symbol
_atom_site_fract_x
_atom_site_fract_y
_atom_site_fract_z
Tl1 Tl 0.000 0.250 0.106
Cu1 Cu 0.000 0.000 0.500
Cu2 Cu 0.250 0.250 0.750
O1 O 0.000 0.036 0.702
```

Properties
Raw formation energy (kJ/mol of formula units): -264
ΔE to the lowest computed polymorph (kcal/mol of atoms): 0.00
Magnetic moment (μB/atom): 0.1762